Tb4Pm4Pr3, optimized geometry, DFT PBE; formation energy = 0.15 eV/atom; energy above the most stable polymorph in this dataset = 17.6 meV per atom
1.0
10.816 0.000 0.000
0.000 2.899 6.079
0.000 -2.899 6.079
Tb Pm Pr
4 4 3
Cartesian
0.000 0.000 0.000
2.148 0.000 5.964
5.408 0.000 11.447
8.667 0.000 5.964
0.000 0.000 3.302
3.111 0.000 1.683
5.408 0.000 4.202
7.705 0.000 1.683
2.237 0.000 9.665
5.408 0.000 7.787
8.578 0.000 9.665

Tb4PmPr15, optimized geometry, DFT PBE; formation energy = 0.01 eV/atom
1.0
5.214 0.000 0.000
0.000 5.214 0.000
0.000 0.000 25.947
Tb Pm Pr
4 1 15
Cartesian
0.000 0.000 2.588
0.000 0.000 7.764
0.000 0.000 18.183
0.000 0.000 23.359
0.000 0.000 12.974
0.000 2.607 0.000
0.000 2.607 5.177
0.000 2.607 10.353
0.000 2.607 15.594
0.000 2.607 20.771
2.607 0.000 0.000
2.607 0.000 5.177
2.607 0.000 10.353
2.607 0.000 15.594
2.607 0.000 20.771
2.607 2.607 2.590
2.607 2.607 7.759
2.607 2.607 12.974
2.607 2.607 18.188
2.607 2.607 23.358

TbPm3Pr12, optimized geometry, DFT PBE; formation energy = 0.01 eV/atom
1.0
5.223 0.000 0.000
0.000 5.223 0.000
0.000 0.000 20.857
Tb Pm Pr
1 3 12
Cartesian
0.000 0.000 0.000
0.000 0.000 5.194
0.000 0.000 10.429
0.000 0.000 15.663
0.000 2.611 2.583
0.000 2.611 7.811
0.000 2.611 13.046
0.000 2.611 18.274
2.611 0.000 2.583
2.611 0.000 7.811
2.611 0.000 13.046
2.611 0.000 18.274
2.611 2.611 0.000
2.611 2.611 5.190
2.611 2.611 10.429
2.611 2.611 15.667

Tb2Pm5Pr12, optimized geometry, DFT PBE; formation energy = 0.16 eV/atom; energy above the most stable polymorph in this dataset = 33.7 meV per atom
1.0
9.413 -3.618 0.000
9.413 3.618 0.000
-3.859 0.000 9.957
Tb Pm Pr
2 5 12
Cartesian
9.413 2.000 0.000
9.413 -2.000 0.000
2.442 0.000 2.078
2.773 0.000 8.111
7.483 0.000 4.978
12.193 0.000 1.846
12.524 0.000 7.879
-1.231 0.000 3.221
4.436 1.826 4.712
5.891 1.784 1.297
9.075 1.784 8.659
10.530 1.826 5.244
5.997 0.000 7.508
8.969 0.000 2.449
4.436 -1.826 4.712
5.891 -1.784 1.297
9.075 -1.784 8.659
10.530 -1.826 5.244
16.197 0.000 6.736

Tb12Pm7Pr, optimized geometry, DFT PBE; formation energy = 0.62 eV/atom; energy above the most stable polymorph in this dataset = 346.5 meV per atom
1.0
-5.684 5.684 5.684
5.684 -5.684 5.684
5.684 5.684 -5.684
Tb Pm Pr
12 7 1
Cartesian
5.684 2.828 -2.828
5.684 -2.828 2.828
2.828 5.684 -2.828
2.857 2.857 0.000
2.857 0.000 2.857
2.828 -2.828 5.684
5.684 2.828 2.828
0.000 2.857 2.857
-2.828 5.684 2.828
-2.828 2.828 5.684
2.828 5.684 2.828
2.828 2.828 5.684
2.842 2.842 -2.842
2.842 -2.842 2.842
5.684 0.000 0.000
-2.842 2.842 2.842
0.000 5.684 0.000
0.000 0.000 5.684
2.842 2.842 2.842
0.000 0.000 0.000

TbPm8Pr6, optimized geometry, DFT PBE; formation energy = 0.16 eV/atom; energy above the most stable polymorph in this dataset = 51.1 meV per atom
1.0
9.596 0.000 0.000
-4.798 8.310 0.000
0.000 0.000 6.722
Tb Pm Pr
1 8 6
Cartesian
0.000 0.000 0.000
-3.317 6.225 4.463
1.065 2.325 4.463
2.546 0.240 2.259
0.000 5.540 4.104
4.798 2.770 2.618
2.252 8.070 4.463
3.733 5.985 2.259
8.115 2.085 2.259
-2.325 5.415 1.089
1.271 3.589 1.089
3.744 0.694 5.634
1.054 7.616 1.089
3.527 4.721 5.634
7.123 2.895 5.634

TbPmPr6, optimized geometry, DFT PBE; formation energy = 0.01 eV/atom
1.0
5.213 0.000 0.000
0.000 5.213 0.000
0.000 0.000 10.428
Tb Pm Pr
1 1 6
Cartesian
0.000 0.000 0.000
0.000 0.000 5.214
0.000 2.606 2.594
0.000 2.606 7.834
2.606 0.000 2.594
2.606 0.000 7.834
2.606 2.606 0.000
2.606 2.606 5.214

Tb4PmPr6, optimized geometry, DFT PBE; formation energy = 0.14 eV/atom; energy above the most stable polymorph in this dataset = 0.0 meV per atom
1.0
11.177 0.000 0.000
-5.589 9.680 0.000
0.000 0.000 3.618
Tb Pm Pr
4 1 6
Cartesian
0.000 0.000 0.000
5.589 0.139 1.809
2.914 4.771 1.809
8.263 4.771 1.809
5.589 3.227 0.000
0.000 3.757 0.000
-2.335 7.801 0.000
2.525 1.458 1.809
2.335 7.801 0.000
8.652 1.458 1.809
5.589 6.764 1.809

Tb7Pm6Pr16, optimized geometry, DFT PBE; formation energy = 0.20 eV/atom
1.0
0.000 8.091 8.091
8.091 0.000 8.091
8.091 8.091 0.000
Tb Pm Pr
7 6 16
Cartesian
0.000 0.000 0.000
4.046 4.046 0.000
4.046 0.000 4.046
8.091 4.046 4.046
0.000 4.046 4.046
4.046 8.091 4.046
4.046 4.046 8.091
8.091 8.091 4.335
8.091 4.335 8.091
11.848 8.091 8.091
4.335 8.091 8.091
8.091 11.848 8.091
8.091 8.091 11.848
10.524 5.659 5.659
2.038 2.038 2.038
6.053 6.053 2.038
6.053 2.038 6.053
5.659 5.659 5.659
10.524 10.524 5.659
10.524 5.659 10.524
14.144 10.129 10.129
2.038 6.053 6.053
5.659 10.524 5.659
5.659 5.659 10.524
10.524 10.524 10.524
10.129 14.144 10.129
10.129 10.129 14.144
14.144 14.144 14.144
5.659 10.524 10.524

Tb7Pm4Pr, optimized geometry, DFT PBE; formation energy = 0.08 eV/atom; energy above the most stable polymorph in this dataset = 0.0 meV per atom
1.0
6.590 0.000 0.000
0.955 6.834 0.000
2.059 0.434 8.903
Tb Pm Pr
7 4 1
Cartesian
0.000 0.000 0.000
2.630 4.281 3.437
3.598 1.643 5.709
4.022 5.156 0.455
5.582 2.113 8.448
6.006 5.626 3.194
6.973 2.988 5.466
1.824 0.880 2.778
4.507 5.066 6.364
5.097 2.202 2.539
7.780 6.389 6.125
0.477 3.417 0.000

Tb3Pm5Pr3, optimized geometry, DFT PBE; formation energy = 0.75 eV/atom; energy above the most stable polymorph in this dataset = 17.6 meV per atom
1.0
9.787 0.000 0.000
-4.894 8.476 0.000
0.000 0.000 5.482
Tb Pm Pr
3 5 3
Cartesian
-2.585 4.478 0.000
2.308 3.998 0.000
5.171 0.000 0.000
-3.592 6.221 2.741
1.302 2.255 2.741
0.000 5.651 2.741
4.894 2.825 2.741
7.183 0.000 2.741
-1.764 3.054 2.741
3.527 0.000 2.741
3.130 5.422 2.741

Tb8Pm4Pr, optimized geometry, DFT PBE; formation energy = 0.18 eV/atom
1.0
3.712 2.143 9.089
-3.712 2.143 9.089
0.000 -4.287 9.089
Tb Pm Pr
8 4 1
Cartesian
-2.078 -1.200 15.363
0.000 0.000 5.960
0.000 -2.399 11.904
-2.078 1.200 11.904
2.078 -1.200 15.363
0.000 2.399 15.363
0.000 0.000 21.307
2.078 1.200 11.904
0.000 0.000 0.000
-1.856 -1.072 9.089
-1.856 1.072 18.178
0.000 2.143 9.089
0.000 0.000 13.634

Tb6PmPr8, optimized geometry, DFT PBE; formation energy = 0.22 eV/atom; energy above the most stable polymorph in this dataset = 61.9 meV per atom
1.0
12.812 0.000 0.000
-6.406 11.095 0.000
0.000 0.000 3.730
Tb Pm Pr
6 1 8
Cartesian
-2.547 6.956 0.006
1.655 5.412 0.006
5.514 1.273 3.724
0.892 9.823 0.006
4.751 5.684 3.724
8.953 4.139 3.724
0.000 0.000 0.000
-0.851 3.604 1.863
-2.860 10.030 1.863
2.696 2.538 1.868
0.000 7.397 1.873
6.406 3.698 1.857
3.710 8.557 1.863
9.266 1.065 1.868
7.256 7.492 1.868

TbPm6Pr6, optimized geometry, DFT PBE; formation energy = 0.28 eV/atom
1.0
6.817 0.000 0.000
-3.409 5.904 0.000
0.000 0.000 11.612
Tb Pm Pr
1 6 6
Cartesian
0.000 0.000 0.000
0.000 0.000 4.089
0.000 0.000 7.523
0.000 3.936 0.000
0.000 3.936 5.806
3.409 1.968 0.000
3.409 1.968 5.806
-1.704 2.952 2.887
-1.704 2.952 8.725
3.409 0.000 2.887
3.409 0.000 8.725
1.704 2.952 2.887
1.704 2.952 8.725

Tb3Pm6Pr2, optimized geometry, DFT PBE; formation energy = 0.17 eV/atom; energy above the most stable polymorph in this dataset = 0.0 meV per atom
1.0
3.119 -5.414 0.000
3.119 5.414 0.000
-2.124 0.000 11.682
Tb Pm Pr
3 6 2
Cartesian
0.000 0.000 0.000
3.119 1.790 0.000
3.119 -1.790 0.000
1.032 1.799 2.894
-0.031 0.000 8.788
1.032 -1.799 2.894
3.081 1.799 8.788
4.145 0.000 2.894
3.081 -1.799 8.788
2.057 3.613 5.841
2.057 -3.613 5.841

TbPm2Pr3, optimized geometry, DFT PBE; formation energy = 0.05 eV/atom; energy above the most stable polymorph in this dataset = 0.0 meV per atom
1.0
8.534 0.000 0.000
0.000 3.757 0.000
-0.016 0.000 13.194
Tb Pm Pr
2 4 6
Cartesian
1.601 0.939 3.315
6.917 2.818 9.879
0.721 0.939 11.773
2.985 2.818 5.867
5.534 0.939 7.327
7.798 2.818 1.421
0.749 0.939 8.028
2.968 2.818 0.759
3.364 2.818 9.875
5.155 0.939 3.319
5.551 0.939 12.435
7.769 2.818 5.166

TbPm4Pr2, optimized geometry, DFT PBE; formation energy = 0.17 eV/atom; energy above the most stable polymorph in this dataset = 162.7 meV per atom
1.0
8.232 -8.238 0.000
8.232 8.238 0.000
0.000 0.000 3.680
Tb Pm Pr
2 8 4
Cartesian
8.232 4.119 3.669
8.232 -4.119 0.011
2.328 1.788 1.849
2.328 -1.788 1.831
5.904 1.788 1.831
5.904 -1.788 1.849
10.560 1.788 1.831
10.560 -1.788 1.849
14.136 1.788 1.849
14.136 -1.788 1.831
0.000 0.000 0.000
4.116 4.119 0.000
4.116 -4.119 0.000
8.232 0.000 0.000

TbPmPr, optimized geometry, DFT PBE; formation energy = 0.02 eV/atom; energy above the most stable polymorph in this dataset = 0.8 meV per atom
1.0
3.641 0.000 0.000
-1.820 3.153 0.000
0.000 0.000 8.919
Tb Pm Pr
1 1 1
Cartesian
0.000 0.000 0.000
0.000 2.102 6.007
1.820 1.051 2.961

The magnetization results, record by record, are as follows: 0.00, 0.00, 0.00, 0.00, 0.00, 0.00, 0.00, 0.00, 0.00, 0.00, 0.00, 0.00, 0.00, 0.00, 0.00, 0.00, 0.00, 0.00 μB/f.u..
The VASP energy results, record by record, are as follows: -50.21, -94.73, -76.06, -87.32, -81.13, -68.91, -37.95, -50.37, -131.62, -55.19, -43.71, -58.45, -67.45, -58.20, -50.11, -56.31, -63.95, -14.11 eV for the cell shown.